No. 1
# Cs2CdSiS4

A geometry-optimized Cs2CdSiS4 structure (PBE-GGA, the Alexandria database).

Properties
SG: No. 70
calculated total energy: -4.06 eV per atom

a b c (Å): 6.212 7.686 12.871
angles (deg): 84.40 76.03 66.16
Fractional positions:
Cs: 0.178 0.000 0.643
Cs: 0.822 0.000 0.357
Cs: 0.572 0.500 0.857
Cs: 0.928 0.500 0.143
Cd: 0.750 0.500 0.500
Cd: 0.000 0.000 0.000
Si: 0.250 0.500 0.500
Si: 0.500 0.000 0.000
S: 0.338 0.821 0.098
S: 0.257 0.179 0.902
S: 0.841 0.821 0.902
S: 0.564 0.179 0.098
S: 0.412 0.679 0.402
S: 0.493 0.321 0.598
S: 0.909 0.679 0.598
S: 0.186 0.321 0.402

=====

No. 2
# Rb2ScBr6

A geometry-optimized Rb2ScBr6 structure (PBE-GGA, the Alexandria database).

Properties
SG: No. 186
calculated total energy: -3.52 eV per atom

a b c (Å): 7.611 7.611 12.615
angles (deg): 90.00 90.00 120.00
Fractional positions:
Rb: 0.000 0.000 0.624
Rb: 0.000 0.000 0.124
Rb: 0.333 0.667 0.876
Rb: 0.667 0.333 0.376
Sc: 0.333 0.667 0.252
Sc: 0.667 0.333 0.752
Br: 0.496 0.993 0.129
Br: 0.504 0.496 0.629
Br: 0.993 0.496 0.629
Br: 0.007 0.504 0.129
Br: 0.496 0.504 0.129
Br: 0.504 0.007 0.629
Br: 0.833 0.666 0.870
Br: 0.167 0.833 0.370
Br: 0.666 0.833 0.370
Br: 0.334 0.167 0.870
Br: 0.833 0.167 0.870
Br: 0.167 0.334 0.370

=====

No. 3
# PuHfTaN3

A geometry-optimized PuHfTaN3 structure (PBE-GGA, the Alexandria database).

Properties
SG: No. 11
calculated total energy: -11.33 eV per atom

a b c (Å): 3.164 6.854 8.080
angles (deg): 91.38 90.00 90.00
Fractional positions:
Pu: 0.250 0.131 0.169
Pu: 0.750 0.869 0.831
Hf: 0.250 0.619 0.139
Hf: 0.750 0.381 0.861
Ta: 0.250 0.158 0.576
Ta: 0.750 0.842 0.424
N: 0.750 0.847 0.147
N: 0.250 0.153 0.853
N: 0.250 0.851 0.594
N: 0.750 0.149 0.406
N: 0.750 0.396 0.124
N: 0.250 0.604 0.876

=====

No. 4
# AcPr2Pt

A geometry-optimized AcPr2Pt structure (PBE-GGA, the Alexandria database).

Properties
SG: No. 166
DFT formation energy: -0.323 eV per atom
excess energy over the best structure of this formula in the dataset: 0.2837 eV per atom

a b c (Å): 3.998 3.998 11.307
angles (deg): 79.82 79.82 60.00
Fractional positions:
Pr: 0.114 0.114 0.658
Pr: 0.886 0.886 0.342
Ac: 0.000 0.000 0.000
Pt: 0.500 0.500 0.500

=====

No. 5
# Ac4PrEu

A geometry-optimized Ac4PrEu structure (PBE-GGA, the Alexandria database).

Properties
SG: No. 216
DFT formation energy: 0.261 eV per atom

a b c (Å): 7.312 7.312 7.312
angles (deg): 60.00 60.00 60.00
Fractional positions:
Eu: 0.000 0.000 0.000
Pr: 0.250 0.250 0.250
Ac: 0.624 0.624 0.128
Ac: 0.624 0.128 0.624
Ac: 0.624 0.624 0.624
Ac: 0.128 0.624 0.624

=====

No. 6
# Al2RhPb

A geometry-optimized Al2RhPb structure (PBE-GGA, the Alexandria database).

Properties
SG: No. 122
DFT formation energy: 0.019 eV per atom

a b c (Å): 7.839 7.839 6.167
angles (deg): 50.54 50.54 90.00
Fractional positions:
Pb: 0.000 0.000 0.000
Pb: 0.750 0.250 0.500
Rh: 0.500 0.500 0.000
Rh: 0.250 0.750 0.500
Al: 0.554 0.125 0.250
Al: 0.196 0.625 0.250
Al: 0.375 0.446 0.750
Al: 0.875 0.804 0.750